Density functional theory data (PBE) for a geometry-optimized Pa2AgSb structure.

a = 4.3849 Å, b = 4.3849 Å, c = 4.8798 Å
α = 90.00°, β = 90.00°, γ = 90.00°
Space group P4/mmm (No. 123)
Inequivalent atoms, fractional coordinates:
Pa (0.0000, 0.5000, 0.0000) x2
Ag (0.0000, 0.0000, 0.5000) x1
Sb (0.5000, 0.5000, 0.5000) x1

Total DFT energy (no corrections)   -6.568 eV/atom
Calculated volume   23.5 A^3/atom
Energy relative to the lowest polymorph listed for this composition   0 meV/atom
ρ   12.2 g/cm³
Formation energy (no corrections)   -0.076 eV/atom

Density functional theory data (PBE) for a geometry-optimized Pa2AgSb structure.

a = 7.3888 Å, b = 7.3888 Å, c = 7.3888 Å
α = 90.00°, β = 90.00°, γ = 90.00°
Space group Fm-3m (No. 225)
Inequivalent atoms, fractional coordinates:
Pa (0.2500, 0.2500, 0.2500) x8
Ag (0.0000, 0.0000, 0.0000) x4
Sb (0.0000, 0.0000, 0.5000) x4

Total DFT energy (no corrections)   -6.420 eV/atom
Calculated volume   25.2 A^3/atom
Energy relative to the lowest polymorph listed for this composition   148 meV/atom
ρ   11.4 g/cm³
Formation energy (no corrections)   0.071 eV/atom